1.
This record from Alexandria describes crystalline AcLa6PmDy2 at its relaxed geometry. The functional is GGA-PBE.

As for the magnetization: 0.00 μB/cell.

It has space group C2/c (No. 15), with a = 9.4731 Å, b = 15.5640 Å, c = 10.0639 Å, α = 90.00°, β = 97.83° and γ = 90.00°. The distinct sites, in fractional coordinates, are Ac at (0.0000, 0.0255, 0.2500), La at (0.0701, 0.1800, 0.9490), La at (0.0977, 0.3949, 0.1219), La at (0.2187, 0.2275, 0.3147), Pm at (0.0000, 0.4084, 0.7500) and Dy at (0.2499, 0.0507, 0.5460).



2.
This record from Alexandria describes crystalline AcLa2Pm2Dy2 at its relaxed geometry. The functional is GGA-PBE.

As for the magnetization: 0.00 μB/cell.

It has space group C2/m (No. 12), with a = 11.6996 Å, b = 5.2301 Å, c = 8.2828 Å, α = 90.00°, β = 98.16° and γ = 90.00°. The distinct sites, in fractional coordinates, are Ac at (0.0000, 0.0000, 0.0000), La at (0.2147, 0.5000, 0.1485), Pm at (0.1413, 0.0000, 0.4309) and Dy at (0.0740, 0.5000, 0.7048).



3.
This record from Alexandria describes crystalline Ac2La4PmDy at its relaxed geometry. The functional is GGA-PBE.

As for the magnetization: 0.00 μB/cell.

It has space group P2/m (No. 10), with a = 5.2996 Å, b = 5.3478 Å, c = 10.6787 Å, α = 90.00°, β = 90.10° and γ = 90.00°. The distinct sites, in fractional coordinates, are Ac at (0.0000, 0.0000, 0.0000), Ac at (0.5000, 0.5000, 0.5000), La at (0.9995, 0.5000, 0.2503), La at (0.4994, 0.0000, 0.7480), Pm at (0.5000, 0.5000, 0.0000) and Dy at (0.0000, 0.0000, 0.5000).



4.
This record from Alexandria describes crystalline AcLaPm6Dy2 at its relaxed geometry. The functional is GGA-PBE.

As for the magnetization: 0.00 μB/cell.

It has space group C2/c (No. 15), with a = 9.3693 Å, b = 15.5495 Å, c = 9.8725 Å, α = 90.00°, β = 96.32° and γ = 90.00°. The distinct sites, in fractional coordinates, are Ac at (0.0000, 0.0305, 0.2500), La at (0.0000, 0.4081, 0.7500), Pm at (0.0667, 0.1836, 0.9441), Pm at (0.0991, 0.3923, 0.1205), Pm at (0.2105, 0.2319, 0.3224) and Dy at (0.2483, 0.4450, 0.4534).



5.
This record from Alexandria describes crystalline AcLaPmDy2 at its relaxed geometry. The functional is GGA-PBE.

As for the magnetization: 0.00 μB/cell.

It has space group Cmcm (No. 63), with a = 6.6324 Å, b = 17.6568 Å, c = 6.5083 Å, α = 90.00°, β = 90.00° and γ = 90.00°. The distinct sites, in fractional coordinates, are Ac at (0.0000, 0.1557, 0.2500), La at (0.0000, 0.3463, 0.2500), Pm at (0.0000, 0.2827, 0.7500) and Dy at (0.2432, 0.5000, 0.0000).



6.
This record from Alexandria describes crystalline Ac2LaPr2Dy at its relaxed geometry. The functional is GGA-PBE.

As for the magnetization: 0.00 μB/cell.

It has space group Pmc2_1 (No. 26), with a = 5.9869 Å, b = 10.3501 Å, c = 7.4255 Å, α = 90.00°, β = 90.00° and γ = 90.00°. The distinct sites, in fractional coordinates, are Ac at (0.0000, 0.9997, 0.0000), Ac at (0.5000, 0.1721, 0.2498), La at (0.5000, 0.5002, 0.0000), Pr at (0.0000, 0.3417, 0.2498), Pr at (0.5000, 0.1737, 0.7502) and Dy at (0.0000, 0.3353, 0.7502).



7.
This record from Alexandria describes crystalline AcLa2Pr4Dy at its relaxed geometry. The functional is GGA-PBE.

As for the magnetization: 0.00 μB/cell.

It has space group Pmmm (No. 47), with a = 5.2685 Å, b = 5.2910 Å, c = 10.5801 Å, α = 90.00°, β = 90.00° and γ = 90.00°. The distinct sites, in fractional coordinates, are Ac at (0.0000, 0.0000, 0.0000), La at (0.0000, 0.0000, 0.5000), La at (0.5000, 0.5000, 0.0000), Pr at (0.0000, 0.5000, 0.2572), Pr at (0.5000, 0.0000, 0.2568) and Dy at (0.5000, 0.5000, 0.5000).



8.
This record from Alexandria describes crystalline AcLaPrDy2 at its relaxed geometry. The functional is GGA-PBE.

As for the magnetization: 0.00 μB/cell.

It has space group Cmcm (No. 63), with a = 6.6612 Å, b = 17.6882 Å, c = 6.5282 Å, α = 90.00°, β = 90.00° and γ = 90.00°. The distinct sites, in fractional coordinates, are Ac at (0.0000, 0.1550, 0.2500), La at (0.0000, 0.3466, 0.2500), Pr at (0.0000, 0.2838, 0.7500) and Dy at (0.2428, 0.5000, 0.0000).



9.
This record from Alexandria describes crystalline AcLa6PrDy2 at its relaxed geometry. The functional is GGA-PBE.

As for the magnetization: 0.00 μB/cell.

It has space group C2/c (No. 15), with a = 9.4791 Å, b = 15.5816 Å, c = 10.0979 Å, α = 90.00°, β = 97.88° and γ = 90.00°. The distinct sites, in fractional coordinates, are Ac at (0.0000, 0.0267, 0.2500), La at (0.0711, 0.1792, 0.9481), La at (0.0974, 0.3947, 0.1226), La at (0.2171, 0.2288, 0.3167), Pr at (0.0000, 0.4069, 0.7500) and Dy at (0.2486, 0.0503, 0.5460).



10.
This record from Alexandria describes crystalline Ac2La2PrDy at its relaxed geometry. The functional is GGA-PBE.

As for the magnetization: 0.00 μB/cell.

It has space group Pnnm (No. 58), with a = 7.2931 Å, b = 10.4430 Å, c = 6.0266 Å, α = 90.00°, β = 90.00° and γ = 90.00°. The distinct sites, in fractional coordinates, are Ac at (0.2491, 0.1681, 0.0000), La at (0.2494, 0.8337, 0.0000), Pr at (0.0000, 0.5000, 0.0000) and Dy at (0.0000, 0.0000, 0.5000).



11.
This record from Alexandria describes crystalline AcLaPr2Dy at its relaxed geometry. The functional is GGA-PBE.

As for the magnetization: 0.00 μB/cell.

It has space group P2_1/m (No. 11), with a = 8.3383 Å, b = 5.3162 Å, c = 8.3676 Å, α = 90.00°, β = 90.23° and γ = 90.00°. The distinct sites, in fractional coordinates, are Ac at (0.0512, 0.2500, 0.1521), La at (0.2567, 0.2500, 0.7465), Pr at (0.1558, 0.7500, 0.4470), Pr at (0.4541, 0.2500, 0.3454) and Dy at (0.3575, 0.7500, 0.0477).



12.
This record from Alexandria describes crystalline AcLaPr2Dy5 at its relaxed geometry. The functional is GGA-PBE.

As for the magnetization: 0.00 μB/cell.

It has space group I4/mcm (No. 140), with a = 8.8565 Å, b = 8.8565 Å, c = 15.9822 Å, α = 90.00°, β = 90.00° and γ = 90.00°. The distinct sites, in fractional coordinates, are Ac at (0.0000, 0.0000, 0.2500), La at (0.0000, 0.5000, 0.2500), Pr at (0.1187, 0.3813, 0.0000), Dy at (0.0000, 0.0000, 0.0000) and Dy at (0.2056, 0.2944, 0.3673).



no.,theoretical density (g/cm3),E (eV for the cell shown)
1,6.915,-186.35
2,7.413,-64.83
3,7.227,-37.02
4,7.252,-182.18
5,7.285,-84.89
6,7.487,-53.82
7,6.931,-37.52
8,7.183,-85.28
9,6.862,-186.56
10,7.490,-53.85
11,7.255,-46.07
12,7.737,-158.13